Entry 1:
BeTl2Cd | Alexandria | PBE-GGA | optimized geometry; spin magnetization = 0.00 Bohr magnetons per cell; space-group type = P2/m; energy above the most stable polymorph in this dataset = 0.101 eV per atom; ΔE_f = 0.44 eV/atom
1.0
4.236 0.000 0.000
0.000 4.542 0.135
0.000 2.830 5.258
Be Tl Cd
1 2 1
Direct
0.500 0.250 0.250
0.000 0.126 0.037
0.000 0.374 0.463
0.500 0.750 0.750


Entry 2:
BeTl2Cd | Alexandria | PBE-GGA | optimized geometry; spin magnetization = 0.00 Bohr magnetons per cell; space-group type = Pm; energy above the most stable polymorph in this dataset = 0.065 eV per atom; ΔE_f = 0.41 eV/atom
1.0
4.331 0.000 0.000
0.000 4.230 0.009
0.000 2.077 5.210
Be Tl Cd
1 2 1
Direct
0.000 0.639 0.483
0.000 0.976 0.953
0.500 0.294 0.322
0.500 0.591 0.742


Entry 3:
BeTl2Cd | Alexandria | PBE-GGA | optimized geometry; spin magnetization = 0.00 Bohr magnetons per cell; space-group type = R-3m; energy above the most stable polymorph in this dataset = 0.079 eV per atom; ΔE_f = 0.42 eV/atom
1.0
8.960 0.093 0.055
8.251 3.495 0.055
8.251 1.720 3.043
Be Tl Cd
1 2 1
Direct
0.250 0.250 0.250
0.987 0.987 0.987
0.513 0.513 0.513
0.750 0.750 0.750


Entry 4:
BeTl2Cd | Alexandria | PBE-GGA | optimized geometry; spin magnetization = 0.00 Bohr magnetons per cell; space-group type = P4mm; energy above the most stable polymorph in this dataset = 0.000 eV per atom; ΔE_f = 0.34 eV/atom
1.0
3.182 0.000 0.000
0.000 3.182 0.000
0.000 0.000 9.297
Be Tl Cd
1 2 1
Direct
0.000 0.000 0.538
0.000 0.000 0.970
0.500 0.500 0.310
0.500 0.500 0.683


Entry 5:
Be4TlCd | Alexandria | PBE-GGA | optimized geometry; spin magnetization = 0.00 Bohr magnetons per cell; space-group type = F-43m; ΔE_f = 0.53 eV/atom
1.0
1.124 -3.845 2.774
-2.230 -0.650 4.283
-3.207 -3.627 0.552
Be Tl Cd
4 1 1
Direct
0.622 0.622 0.133
0.622 0.133 0.622
0.622 0.622 0.622
0.133 0.622 0.622
0.000 0.000 0.000
0.250 0.250 0.250


Entry 6:
BeTl2Cd | Alexandria | PBE-GGA | optimized geometry; spin magnetization = 0.00 Bohr magnetons per cell; space-group type = I-42d; energy above the most stable polymorph in this dataset = 0.236 eV per atom; ΔE_f = 0.58 eV/atom
1.0
6.064 0.000 0.000
0.000 6.064 0.000
3.032 3.032 6.704
Be Tl Cd
2 4 2
Direct
0.500 0.500 0.000
0.250 0.750 0.500
0.517 0.125 0.250
0.233 0.625 0.250
0.375 0.483 0.750
0.875 0.767 0.750
0.000 0.000 0.000
0.750 0.250 0.500


Entry 7:
BeTl2Cd | Alexandria | PBE-GGA | optimized geometry; spin magnetization = 0.00 Bohr magnetons per cell; space-group type = C2/m; energy above the most stable polymorph in this dataset = 0.116 eV per atom; ΔE_f = 0.46 eV/atom
1.0
4.651 -0.096 0.021
3.342 3.236 0.021
1.681 0.660 6.151
Be Tl Cd
1 2 1
Direct
0.250 0.250 0.250
0.979 0.979 0.042
0.521 0.521 0.458
0.750 0.750 0.750


Entry 8:
BeTl2Cd | Alexandria | PBE-GGA | optimized geometry; spin magnetization = 0.00 Bohr magnetons per cell; space-group type = F-43m; energy above the most stable polymorph in this dataset = 0.255 eV per atom; ΔE_f = 0.60 eV/atom
1.0
5.171 0.000 0.000
2.585 4.478 0.000
2.585 1.493 4.222
Be Tl Cd
1 2 1
Direct
0.500 0.500 0.500
0.000 0.000 0.000
0.250 0.250 0.250
0.750 0.750 0.750


Entry 9:
Be3TlCd | Alexandria | PBE-GGA | optimized geometry; spin magnetization = 0.00 Bohr magnetons per cell; space-group type = Pm-3m; energy above the most stable polymorph in this dataset = 0.000 eV per atom; ΔE_f = 0.97 eV/atom
1.0
4.577 0.000 0.000
0.000 4.577 0.000
0.000 0.000 4.577
Be Tl Cd
3 1 1
Direct
0.000 0.500 0.000
0.000 0.000 0.500
0.500 0.000 0.000
0.500 0.500 0.500
0.000 0.000 0.000


Entry 10:
TmBeCd | Alexandria | PBE-GGA | optimized geometry; spin magnetization = 0.00 Bohr magnetons per cell; space-group type = Fmmm; ΔE_f = 0.13 eV/atom
1.0
5.183 0.069 0.000
-2.421 4.583 0.000
-1.381 -2.326 4.826
Tm Cd Be
2 2 2
Direct
0.679 0.321 0.000
0.321 0.679 0.000
0.841 0.841 0.682
0.159 0.159 0.318
0.750 0.250 0.500
0.250 0.750 0.500


Entry 11:
YTmBeCd | Alexandria | PBE-GGA | optimized geometry; spin magnetization = 0.00 Bohr magnetons per cell; space-group type = F-43m; ΔE_f = -0.06 eV/atom
1.0
5.064 0.000 0.000
2.532 4.386 0.000
2.532 1.462 4.135
Y Be Tm Cd
1 1 1 1
Direct
0.750 0.750 0.750
0.500 0.500 0.500
0.250 0.250 0.250
0.000 0.000 0.000


Entry 12:
BeV2Cd | Alexandria | PBE-GGA | optimized geometry; spin magnetization = 0.73 Bohr magnetons per cell; space-group type = Fm-3m; energy above the most stable polymorph in this dataset = 0.000 eV per atom; ΔE_f = 0.54 eV/atom
1.0
0.000 3.058 3.058
3.058 0.000 3.058
3.058 3.058 0.000
Be Cd V
1 1 2
Direct
0.000 0.000 0.000
0.500 0.500 0.500
0.250 0.250 0.250
0.750 0.750 0.750


Entry 13:
Be2VCd | Alexandria | PBE-GGA | optimized geometry; spin magnetization = 1.72 Bohr magnetons per cell; space-group type = I-42d; ΔE_f = 0.73 eV/atom
1.0
6.435 0.000 0.000
0.000 6.435 0.000
3.218 3.218 2.681
Be Cd V
4 2 2
Direct
0.618 0.125 0.250
0.132 0.625 0.250
0.375 0.382 0.750
0.875 0.868 0.750
0.000 0.000 0.000
0.750 0.250 0.500
0.500 0.500 0.000
0.250 0.750 0.500


Entry 14:
BeVCd3 | Alexandria | PBE-GGA | optimized geometry; spin magnetization = 4.19 Bohr magnetons per cell; space-group type = Pm-3m; energy above the most stable polymorph in this dataset = 0.616 eV per atom; ΔE_f = 1.26 eV/atom
1.0
-3.716 0.457 -3.791
1.781 -4.472 -2.285
-3.378 -2.860 2.966
Be Cd V
1 3 1
Direct
0.500 0.500 0.500
0.000 0.500 0.000
0.000 0.000 0.500
0.500 0.000 0.000
0.000 0.000 0.000


Entry 15:
BeV2Cd | Alexandria | PBE-GGA | optimized geometry; spin magnetization = 0.00 Bohr magnetons per cell; space-group type = I-42d; energy above the most stable polymorph in this dataset = 0.346 eV per atom; ΔE_f = 0.89 eV/atom
1.0
-3.657 0.144 -0.761
-0.732 -1.840 3.171
-2.815 7.141 5.696
Be Cd V
2 2 4
Direct
0.500 0.500 0.000
0.250 0.750 0.500
0.000 0.000 0.000
0.750 0.250 0.500
0.497 0.125 0.250
0.253 0.625 0.250
0.375 0.503 0.750
0.875 0.747 0.750


Entry 16:
BeVCd3 | Alexandria | PBE-GGA | optimized geometry; spin magnetization = 3.48 Bohr magnetons per cell; space-group type = Pm-3m; energy above the most stable polymorph in this dataset = 0.000 eV per atom; ΔE_f = 0.65 eV/atom
1.0
4.635 0.000 0.000
0.000 4.635 0.000
0.000 0.000 4.635
Be Cd V
1 3 1
Direct
0.000 0.000 0.000
0.000 0.500 0.000
0.000 0.000 0.500
0.500 0.000 0.000
0.500 0.500 0.500


Entry 17:
BeCd4W | Alexandria | PBE-GGA | optimized geometry; spin magnetization = 2.94 Bohr magnetons per cell; space-group type = F-43m; ΔE_f = 1.03 eV/atom
1.0
-3.728 1.820 3.651
-2.082 5.097 -0.484
-5.261 0.701 -1.539
Be Cd W
1 4 1
Direct
0.000 0.000 0.000
0.874 0.375 0.375
0.375 0.375 0.874
0.375 0.874 0.375
0.375 0.375 0.375
0.750 0.750 0.750


Entry 18:
BeCd3W | Alexandria | PBE-GGA | optimized geometry; spin magnetization = 3.55 Bohr magnetons per cell; space-group type = Pm-3m; energy above the most stable polymorph in this dataset = 0.541 eV per atom; ΔE_f = 1.72 eV/atom
1.0
5.452 0.000 0.000
0.000 5.452 0.000
0.000 0.000 5.452
Be W Cd
1 1 3
Direct
0.500 0.500 0.500
0.000 0.000 0.000
0.000 0.500 0.000
0.000 0.000 0.500
0.500 0.000 0.000


Entry 19:
BeCd2W2 | Alexandria | PBE-GGA | optimized geometry; spin magnetization = 0.00 Bohr magnetons per cell; space-group type = I4/mmm; energy above the most stable polymorph in this dataset = 0.473 eV per atom; ΔE_f = 1.24 eV/atom
1.0
-3.449 0.018 -1.240
-0.260 -3.594 0.671
-4.178 -0.410 6.199
Be W Cd
1 2 2
Direct
0.000 0.000 0.000
0.419 0.419 0.162
0.581 0.581 0.838
0.750 0.250 0.500
0.250 0.750 0.500


Entry 20:
BeCdW3 | Alexandria | PBE-GGA | optimized geometry; spin magnetization = 0.00 Bohr magnetons per cell; space-group type = Pm-3m; energy above the most stable polymorph in this dataset = 0.000 eV per atom; ΔE_f = 0.97 eV/atom
1.0
4.300 0.000 0.000
0.000 4.300 0.000
0.000 0.000 4.300
Be W Cd
1 3 1
Direct
0.000 0.000 0.000
0.000 0.500 0.000
0.000 0.000 0.500
0.500 0.000 0.000
0.500 0.500 0.500